RbMnSn2: optimized geometry, GGA-PBEsol.

Structure (POSCAR):
```
RbMnSn2
1.0
-0.150 5.252 0.101
-2.317 2.486 4.008
2.910 2.645 3.486
Sn Mn Rb
2 1 1
direct
0.750 0.750 0.750
0.250 0.250 0.250
0.000 0.000 0.000
0.500 0.500 0.500
```

Calculated values
- E: -4.33 eV per atom
- Calculated volume: 103 Å³/cell
- M_tot: 4.09 μB/f.u.
- Energy relative to the elements: 0.4934 eV/atom
- Crystal system: cubic